(1)
Entry from the Alexandria database: crystalline Cs2Cd4Sn3Bi at its relaxed geometry (PBE).

```
Cs2Cd4Sn3Bi
1.0
5.0828 0.0000 0.0000
0.0000 5.0828 0.0000
0.0000 0.0000 12.7757
Cs Cd Sn Bi
2 4 3 1
Direct
0.0000 0.5000 0.2440
0.5000 0.0000 0.7560
0.0000 0.0000 0.0000
0.0000 0.5000 0.6451
0.5000 0.0000 0.3549
0.5000 0.5000 0.0000
0.0000 0.5000 0.8747
0.5000 0.0000 0.1253
0.5000 0.5000 0.5000
0.0000 0.0000 0.5000
```

Output
Volume (Å³ per atom): 33.01
E_form (eV per atom): -0.146
Electronic total energy (eV per cell): -22.72



(2)
Entry from the Alexandria database: crystalline Cs2Cd3SnBi4 at its relaxed geometry (PBE).

```
Cs2Cd3SnBi4
1.0
5.5063 0.0000 0.0000
0.0000 5.5063 0.0000
0.0000 0.0000 12.0337
Cs Cd Sn Bi
2 3 1 4
Direct
0.0000 0.5000 0.2492
0.5000 0.0000 0.7508
0.0000 0.5000 0.8793
0.5000 0.0000 0.1207
0.5000 0.5000 0.5000
0.0000 0.0000 0.5000
0.0000 0.0000 0.0000
0.0000 0.5000 0.6234
0.5000 0.0000 0.3766
0.5000 0.5000 0.0000
```

Output
Volume (Å³ per atom): 36.49
E_form (eV per atom): -0.203
Electronic total energy (eV per cell): -26.01



(3)
Entry from the Alexandria database: crystalline CsSrCdBi at its relaxed geometry (PBE).

```
CsSrCdBi
1.0
0.0000 4.3198 4.3198
4.3198 0.0000 4.3198
4.3198 4.3198 0.0000
Cs Sr Cd Bi
1 1 1 1
Direct
0.0000 0.0000 0.0000
0.5000 0.5000 0.5000
0.2500 0.2500 0.2500
0.7500 0.7500 0.7500
```

Output
Volume (Å³ per atom): 40.31
E_form (eV per atom): -0.359
Electronic total energy (eV per cell): -8.77



(4)
Entry from the Alexandria database: crystalline CsSrCd2Bi2 at its relaxed geometry (PBE).

```
CsSrCd2Bi2
1.0
5.2817 0.0000 0.0000
-2.6409 4.5741 0.0000
0.0000 0.0000 9.6213
Cs Sr Cd Bi
1 1 2 2
Direct
0.0000 0.0000 0.0000
0.0000 0.0000 0.5000
0.3333 0.6667 0.3399
0.6667 0.3333 0.6601
0.3333 0.6667 0.7116
0.6667 0.3333 0.2884
```

Output
Volume (Å³ per atom): 38.74
E_form (eV per atom): -0.436
Electronic total energy (eV per cell): -14.75